# 1
VASP calculation (SCAN) on Ca2SbPt at its PBEsol-relaxed geometry.

Crystal system ... orthorhombic
Spin magnetization ... 0.00 μB per formula unit
E ... -32.59 eV/atom
ΔE_f (raw) ... -3.6 eV per formula unit
ρ ... 6.717 g cm⁻³

CIF file:
```
data_Ca2SbPt
_space_group_name_H-M_alt 'I m m 2'
_space_group_IT_number 44
_cell_length_a 3.6071
_cell_length_b 4.7880
_cell_length_c 11.3653
_cell_angle_alpha 90.00
_cell_angle_beta 90.00
_cell_angle_gamma 90.00
loop_
_space_group_symop_operation_xyz
'x,y,z'
'-x,-y,z'
'-x,y,z'
'x,-y,z'
'x+1/2,y+1/2,z+1/2'
'-x+1/2,-y+1/2,z+1/2'
'-x+1/2,y+1/2,z+1/2'
'x+1/2,-y+1/2,z+1/2'
loop_
_atom_site_label
_atom_site_fract_x
_atom_site_fract_y
_atom_site_fract_z
_atom_site_occupancy
Ca1 0.0000 0.0000 0.0000 1
Ca2 0.0000 0.5000 0.2042 1
Sb1 0.0000 0.0000 0.4060 1
Pt1 0.0000 0.5000 0.7229 1
```

=====

# 2
VASP calculation (SCAN) on Zr2BeSi at its PBEsol-relaxed geometry.

Crystal system ... orthorhombic
Spin magnetization ... 0.00 μB per formula unit
E ... -19.61 eV/atom
ΔE_f (raw) ... -2.7 eV per formula unit
ρ ... 5.474 g cm⁻³
Offset from the most stable computed form ... 0.0 meV/atom

CIF file:
```
data_Zr2BeSi
_space_group_name_H-M_alt 'A m m 2'
_space_group_IT_number 38
_cell_length_a 3.6171
_cell_length_b 3.7495
_cell_length_c 9.8218
_cell_angle_alpha 90.00
_cell_angle_beta 90.00
_cell_angle_gamma 90.00
loop_
_space_group_symop_operation_xyz
'x,y,z'
'-x,-y,z'
'-x,y,z'
'x,-y,z'
'x,y+1/2,z+1/2'
'-x,-y+1/2,z+1/2'
'-x,y+1/2,z+1/2'
'x,-y+1/2,z+1/2'
loop_
_atom_site_label
_atom_site_fract_x
_atom_site_fract_y
_atom_site_fract_z
_atom_site_occupancy
Zr1 0.0000 0.0000 0.0000 1
Zr2 0.5000 0.0000 0.2923 1
Be1 0.0000 0.0000 0.7170 1
Si1 0.5000 0.0000 0.5794 1
```

=====

# 3
VASP calculation (SCAN) on CuNiRh at its PBEsol-relaxed geometry.

Crystal system ... trigonal
Spin magnetization ... 1.33 μB per formula unit
E ... -21.66 eV/atom
ρ ... 10.427 g cm⁻³
Formation energy from the elements ... 0.050 eV/atom
Offset from the most stable computed form ... 0.0 meV/atom

CIF file:
```
data_CuNiRh
_space_group_name_H-M_alt 'P 3 m 1'
_space_group_IT_number 156
_cell_length_a 2.5861
_cell_length_b 2.5861
_cell_length_c 6.1904
_cell_angle_alpha 90.00
_cell_angle_beta 90.00
_cell_angle_gamma 120.00
loop_
_space_group_symop_operation_xyz
'x,y,z'
'-y,x-y,z'
'-x+y,-x,z'
'-y,-x,z'
'-x+y,y,z'
'x,x-y,z'
loop_
_atom_site_label
_atom_site_fract_x
_atom_site_fract_y
_atom_site_fract_z
_atom_site_occupancy
Cu1 0.0000 0.0000 0.0000 1
Ni1 0.3333 0.6667 0.6796 1
Rh1 0.6667 0.3333 0.3479 1
```

=====

# 4
VASP calculation (SCAN) on CrCuOs2 at its PBEsol-relaxed geometry.

Crystal system ... cubic
Spin magnetization ... 0.00 μB per formula unit
E ... -44.07 eV/atom
ρ ... 16.228 g cm⁻³
Formation energy from the elements ... 0.261 eV/atom
Offset from the most stable computed form ... 45.6 meV/atom

CIF file:
```
data_CrCuOs2
_space_group_name_H-M_alt 'F m -3 m'
_space_group_IT_number 225
_space_group_name_Hall '-F 4 2 3'
_cell_length_a 5.8773
_cell_length_b 5.8773
_cell_length_c 5.8773
_cell_angle_alpha 90.00
_cell_angle_beta 90.00
_cell_angle_gamma 90.00
loop_
_atom_site_label
_atom_site_fract_x
_atom_site_fract_y
_atom_site_fract_z
_atom_site_occupancy
Cr1 0.0000 0.0000 0.0000 1
Cu1 0.0000 0.0000 0.5000 1
Os1 0.2500 0.2500 0.2500 1
```

=====

# 5
VASP calculation (SCAN) on Ti2PC at its PBEsol-relaxed geometry.

Crystal system ... tetragonal
Spin magnetization ... 0.00 μB per formula unit
E ... -13.63 eV/atom
ρ ... 3.584 g cm⁻³
Formation energy from the elements ... -0.495 eV/atom

CIF file:
```
data_Ti2PC
_space_group_name_H-M_alt 'I -4 2 d'
_space_group_IT_number 122
_space_group_name_Hall 'I -4 2bw'
_cell_length_a 5.2058
_cell_length_b 5.2058
_cell_length_c 9.4854
_cell_angle_alpha 90.00
_cell_angle_beta 90.00
_cell_angle_gamma 90.00
loop_
_atom_site_label
_atom_site_fract_x
_atom_site_fract_y
_atom_site_fract_z
_atom_site_occupancy
Ti1 0.1851 0.2500 0.1250 1
P1 0.0000 0.0000 0.5000 1
C1 0.0000 0.0000 0.0000 1
```

=====

# 6
VASP calculation (SCAN) on Ag3RuI at its PBEsol-relaxed geometry.

Crystal system ... cubic
Spin magnetization ... 2.26 μB per formula unit
E ... -31.42 eV/atom
ΔE_f (raw) ... 8.6 eV per formula unit
ρ ... 6.789 g cm⁻³

CIF file:
```
data_Ag3RuI
_space_group_name_H-M_alt 'P m -3 m'
_space_group_IT_number 221
_space_group_name_Hall '-P 4 2 3'
_cell_length_a 5.1287
_cell_length_b 5.1287
_cell_length_c 5.1287
_cell_angle_alpha 90.00
_cell_angle_beta 90.00
_cell_angle_gamma 90.00
loop_
_atom_site_label
_atom_site_fract_x
_atom_site_fract_y
_atom_site_fract_z
_atom_site_occupancy
Ag1 0.0000 0.0000 0.5000 1
Ru1 0.5000 0.5000 0.5000 1
I1 0.0000 0.0000 0.0000 1
```

=====

# 7
VASP calculation (SCAN) on LaNi2Ir at its PBEsol-relaxed geometry.

Crystal system ... tetragonal
Spin magnetization ... 1.25 μB per formula unit
E ... -36.60 eV/atom
ρ ... 11.772 g cm⁻³
Formation energy from the elements ... 0.042 eV/atom

CIF file:
```
data_LaNi2Ir
_space_group_name_H-M_alt 'P 4 m m'
_space_group_IT_number 99
_cell_length_a 3.0945
_cell_length_b 3.0945
_cell_length_c 6.6068
_cell_angle_alpha 90.00
_cell_angle_beta 90.00
_cell_angle_gamma 90.00
loop_
_space_group_symop_operation_xyz
'x,y,z'
'-y,x,z'
'-x,-y,z'
'y,-x,z'
'-x,y,z'
'y,x,z'
'x,-y,z'
'-y,-x,z'
loop_
_atom_site_label
_atom_site_fract_x
_atom_site_fract_y
_atom_site_fract_z
_atom_site_occupancy
La1 0.0000 0.0000 0.0000 1
Ni1 0.0000 0.0000 0.4801 1
Ni2 0.5000 0.5000 0.3048 1
Ir1 0.5000 0.5000 0.6748 1
```

=====

# 8
VASP calculation (SCAN) on HoBiTe3 at its PBEsol-relaxed geometry.

Crystal system ... trigonal
Spin magnetization ... 0.00 μB per formula unit
E ... -48.68 eV/atom
ΔE_f (raw) ... -4.1 eV per formula unit
ρ ... 7.630 g cm⁻³

CIF file:
```
data_HoBiTe3
_space_group_name_H-M_alt 'R 3 m'
_space_group_IT_number 160
_space_group_name_Hall 'R 3 -2"'
_cell_length_a 4.3055
_cell_length_b 4.3055
_cell_length_c 30.7734
_cell_angle_alpha 90.00
_cell_angle_beta 90.00
_cell_angle_gamma 120.00
loop_
_atom_site_label
_atom_site_fract_x
_atom_site_fract_y
_atom_site_fract_z
_atom_site_occupancy
Ho1 0.0000 0.0000 0.0000 1
Bi1 0.0000 0.0000 0.2013 1
Te1 0.0000 0.0000 0.3862 1
Te2 0.0000 0.0000 0.6054 1
Te3 0.0000 0.0000 0.8123 1
```

=====

# 9
VASP calculation (SCAN) on CaTc2Mo at its PBEsol-relaxed geometry.

Crystal system ... tetragonal
Spin magnetization ... 0.00 μB per formula unit
E ... -28.16 eV/atom
ρ ... 7.783 g cm⁻³
Formation energy from the elements ... 0.507 eV/atom
Offset from the most stable computed form ... 25.8 meV/atom

CIF file:
```
data_CaTc2Mo
_space_group_name_H-M_alt 'P 4 m m'
_space_group_IT_number 99
_cell_length_a 3.1286
_cell_length_b 3.1286
_cell_length_c 7.2373
_cell_angle_alpha 90.00
_cell_angle_beta 90.00
_cell_angle_gamma 90.00
loop_
_space_group_symop_operation_xyz
'x,y,z'
'-y,x,z'
'-x,-y,z'
'y,-x,z'
'-x,y,z'
'y,x,z'
'x,-y,z'
'-y,-x,z'
loop_
_atom_site_label
_atom_site_fract_x
_atom_site_fract_y
_atom_site_fract_z
_atom_site_occupancy
Ca1 0.0000 0.0000 0.0000 1
Tc1 0.0000 0.0000 0.5119 1
Tc2 0.5000 0.5000 0.6963 1
Mo1 0.5000 0.5000 0.3165 1
```

=====

# 10
VASP calculation (SCAN) on ZnP2Ru at its PBEsol-relaxed geometry.

Crystal system ... tetragonal
Spin magnetization ... 0.00 μB per formula unit
E ... -16.95 eV/atom
ρ ... 7.103 g cm⁻³
Formation energy from the elements ... 0.330 eV/atom

CIF file:
```
data_ZnP2Ru
_space_group_name_H-M_alt 'P 4/m m m'
_space_group_IT_number 123
_space_group_name_Hall '-P 4 2'
_cell_length_a 4.1607
_cell_length_b 4.1607
_cell_length_c 3.0848
_cell_angle_alpha 90.00
_cell_angle_beta 90.00
_cell_angle_gamma 90.00
loop_
_atom_site_label
_atom_site_fract_x
_atom_site_fract_y
_atom_site_fract_z
_atom_site_occupancy
Zn1 0.0000 0.0000 0.0000 1
P1 0.0000 0.5000 0.5000 1
Ru1 0.5000 0.5000 0.0000 1
```

=====

# 11
VASP calculation (SCAN) on SiCIF2 at its PBEsol-relaxed geometry.

Crystal system ... tetragonal
Spin magnetization ... 1.41 μB per formula unit
E ... -12.76 eV/atom
ΔE_f (raw) ... 0.2 eV per formula unit
ρ ... 4.182 g cm⁻³

CIF file:
```
data_SiCIF2
_space_group_name_H-M_alt 'P 4/m m m'
_space_group_IT_number 123
_space_group_name_Hall '-P 4 2'
_cell_length_a 3.7643
_cell_length_b 3.7643
_cell_length_c 5.7438
_cell_angle_alpha 90.00
_cell_angle_beta 90.00
_cell_angle_gamma 90.00
loop_
_atom_site_label
_atom_site_fract_x
_atom_site_fract_y
_atom_site_fract_z
_atom_site_occupancy
Si1 0.0000 0.0000 0.0000 1
C1 0.5000 0.5000 0.5000 1
I1 0.0000 0.0000 0.5000 1
F1 0.0000 0.5000 0.0000 1
```

=====

# 12
VASP calculation (SCAN) on HOsSe2 at its PBEsol-relaxed geometry.

Crystal system ... cubic
Spin magnetization ... 0.00 μB per formula unit
E ... -28.27 eV/atom
ρ ... 10.877 g cm⁻³

CIF file:
```
data_HOsSe2
_space_group_name_H-M_alt 'F m -3 m'
_space_group_IT_number 225
_space_group_name_Hall '-F 4 2 3'
_cell_length_a 5.9742
_cell_length_b 5.9742
_cell_length_c 5.9742
_cell_angle_alpha 90.00
_cell_angle_beta 90.00
_cell_angle_gamma 90.00
loop_
_atom_site_label
_atom_site_fract_x
_atom_site_fract_y
_atom_site_fract_z
_atom_site_occupancy
H1 0.0000 0.0000 0.0000 1
Os1 0.0000 0.0000 0.5000 1
Se1 0.2500 0.2500 0.2500 1
```